UI2Br (PBE-GGA, optimized geometry); formation energy (no corrections) = -0.928 eV per atom; E = -4.944 eV per atom; volume = 43.824 Å³/atom; energy relative to the lowest polymorph listed for this composition = 5 meV/atom
1.0
6.235 -3.743 0.000
6.235 3.743 0.000
-1.249 0.000 3.756
U I Br
1 2 1
Direct
0.000 0.000 0.000 U
0.000 0.345 0.672 I
0.655 0.000 0.328 I
0.285 0.715 0.500 Br